## AgCl3F (PBE)

Data for crystalline AgCl3F at its relaxed geometry.

a b c (Å): 4.714 4.714 4.714
angles (deg): 90.00 90.00 90.00
Sites, in units of the cell vectors:
Cl: 0.000 0.500 0.000
Cl: 0.500 0.000 0.000
Cl: 0.000 0.000 0.500
F: 0.000 0.000 0.000
Ag: 0.500 0.500 0.500

Calculated values
The value obtained for the magnetic moment is 0.00 μB/f.u. Its energy relative to the lowest polymorph listed for this composition is 600 meV/atom. The energy is -1.741 eV per atom. As for the space group: Pm-3m.


## InTePI2 (PBE)

Data for crystalline InTePI2 at its relaxed geometry.

a b c (Å): 5.829 5.829 6.103
angles (deg): 90.00 90.00 90.00
Site moments in Bohr magnetons follow the coordinates.
Sites, in units of the cell vectors:
Te: 0.000 0.000 0.500  -0.42
I: 0.000 0.500 0.000  0.01
I: 0.500 0.000 0.000  0.01
P: 0.500 0.500 0.500  1.05
In: 0.000 0.000 0.000  0.03

Calculated values
The value obtained for the magnetic moment is 1.73 μB/f.u. Its energy relative to the lowest polymorph listed for this composition is 529 meV/atom. The energy is -2.223 eV per atom. As for the space group: P4/mmm.


## TaNbPt (PBE)

Data for crystalline TaNbPt at its relaxed geometry.

a b c (Å): 2.749 4.694 4.694
angles (deg): 120.00 90.00 90.00
Sites, in units of the cell vectors:
Ta: 0.167 0.000 0.000
Pt: 0.166 0.667 0.333
Nb: 0.667 0.333 0.667

Calculated values
The value obtained for the magnetic moment is 0.00 μB/f.u. Its energy relative to the lowest polymorph listed for this composition is 252 meV/atom. The energy is -9.502 eV per atom. For the formation enthalpy at 0 K, the calculation gives -0.181 eV/atom. As for the space group: P-6m2.